Below is NaTl2SnO4 after structural relaxation, with properties calculated at the GGA-PBE level.

**Space group**: I-4, No. 82
**DFT total energy**: -4.813 eV/atom
**V**: 19.369 A^3/atom
**Formation energy (no corrections)**: -1.08 eV/atom

a b c (Å): 6.172 6.172 6.172
angles (deg): 124.01 124.01 83.18
Sites, in units of the cell vectors:
Na: 0.000 0.000 0.000
Tl: 0.250 0.750 0.500
Tl: 0.500 0.500 0.000
Sn: 0.750 0.250 0.500
O: 0.073 0.174 0.498
O: 0.425 0.927 0.101
O: 0.676 0.575 0.502
O: 0.826 0.324 0.899

***

Below is Na4Tm3SnO8 after structural relaxation, with properties calculated at the GGA-PBE level.

**Space group**: R-3m, No. 166
**DFT total energy**: -6.386 eV/atom
**V**: 13.761 A^3/atom
**Formation energy (no corrections)**: -2.49 eV/atom

a b c (Å): 6.811 6.811 6.811
angles (deg): 59.37 59.37 59.37
Sites, in units of the cell vectors:
Na: 0.000 0.000 0.000
Na: 0.000 0.500 0.500
Na: 0.500 0.000 0.500
Na: 0.500 0.500 0.000
Tm: 0.000 0.000 0.500
Tm: 0.000 0.500 0.000
Tm: 0.500 0.000 0.000
Sn: 0.500 0.500 0.500
O: 0.233 0.739 0.739
O: 0.235 0.235 0.235
O: 0.261 0.261 0.767
O: 0.261 0.767 0.261
O: 0.739 0.233 0.739
O: 0.739 0.739 0.233
O: 0.765 0.765 0.765
O: 0.767 0.261 0.261

***

Below is NaTmSnO3 after structural relaxation, with properties calculated at the GGA-PBE level.

**Space group**: P2_1/m, No. 11
**DFT total energy**: -6.404 eV/atom
**V**: 18.162 A^3/atom
**Formation energy (no corrections)**: -2.29 eV/atom

a b c (Å): 6.219 3.358 10.459
angles (deg): 90.00 93.87 90.00
Sites, in units of the cell vectors:
Na: 0.139 0.250 0.321
Na: 0.861 0.750 0.679
Tm: 0.390 0.250 0.617
Tm: 0.610 0.750 0.383
Sn: 0.285 0.750 0.883
Sn: 0.715 0.250 0.117
O: 0.135 0.250 0.770
O: 0.302 0.750 0.482
O: 0.491 0.250 0.255
O: 0.509 0.750 0.745
O: 0.698 0.250 0.518
O: 0.865 0.750 0.230

***

Below is Na3Tm3SnO8 after structural relaxation, with properties calculated at the GGA-PBE level.

**Space group**: R-3m, No. 166
**DFT total energy**: -6.691 eV/atom
**V**: 14.360 A^3/atom
**Formation energy (no corrections)**: -2.62 eV/atom

a b c (Å): 6.787 6.787 6.787
angles (deg): 58.89 58.89 58.89
Sites, in units of the cell vectors:
Na: 0.000 0.500 0.500
Na: 0.500 0.000 0.500
Na: 0.500 0.500 0.000
Tm: 0.000 0.000 0.500
Tm: 0.000 0.500 0.000
Tm: 0.500 0.000 0.000
Sn: 0.500 0.500 0.500
O: 0.234 0.234 0.234
O: 0.253 0.724 0.724
O: 0.276 0.276 0.747
O: 0.276 0.747 0.276
O: 0.724 0.253 0.724
O: 0.724 0.724 0.253
O: 0.747 0.276 0.276
O: 0.766 0.766 0.766

***

Below is Na2TmSnO4 after structural relaxation, with properties calculated at the GGA-PBE level.

**Space group**: P2/m, No. 10
**DFT total energy**: -5.976 eV/atom
**V**: 13.895 A^3/atom
**Formation energy (no corrections)**: -2.11 eV/atom

a b c (Å): 5.843 3.394 5.937
angles (deg): 90.00 109.25 90.00
Sites, in units of the cell vectors:
Na: 0.000 0.000 0.000
Na: 0.500 0.500 0.000
Tm: 0.000 0.500 0.500
Sn: 0.500 0.000 0.500
O: 0.231 0.000 0.711
O: 0.262 0.500 0.288
O: 0.738 0.500 0.712
O: 0.769 0.000 0.289

***

Below is NaUSnO6 after structural relaxation, with properties calculated at the GGA-PBE level.

**Space group**: P-31c, No. 163
**DFT total energy**: -7.161 eV/atom
**V**: 15.321 A^3/atom
**Formation energy (no corrections)**: -2.01 eV/atom

a b c (Å): 5.576 5.576 10.244
angles (deg): 90.00 90.00 120.00
Sites, in units of the cell vectors:
Na: 0.000 0.000 0.000
Na: 0.000 0.000 0.500
U: 0.333 0.667 0.250
U: 0.667 0.333 0.750
Sn: 0.333 0.667 0.750
Sn: 0.667 0.333 0.250
O: 0.002 0.366 0.143
O: 0.002 0.636 0.357
O: 0.364 0.366 0.357
O: 0.364 0.998 0.143
O: 0.366 0.002 0.643
O: 0.366 0.364 0.857
O: 0.634 0.636 0.143
O: 0.634 0.998 0.357
O: 0.636 0.002 0.857
O: 0.636 0.634 0.643
O: 0.998 0.364 0.643
O: 0.998 0.634 0.857